# LiNi6W (GGA-PBEsol, relaxed)
data_LiNi6W
_symmetry_space_group_name_H-M 'C m m m'
_symmetry_Int_Tables_number 65
_symmetry_space_group_name_Hall '-C 2 2'
_cell_length_a 7.040
_cell_length_b 9.981
_cell_length_c 9.998
_cell_angle_alpha 90.00
_cell_angle_beta 90.00
_cell_angle_gamma 90.00
loop_
_atom_site_label
_atom_site_type_symbol
_atom_site_fract_x
_atom_site_fract_y
_atom_site_fract_z
Li1 Li 0.000 0.000 0.246
Li2 Li 0.000 0.255 0.000
Ni1 Ni 0.000 0.000 0.000
Ni2 Ni 0.000 0.000 0.500
Ni3 Ni 0.000 0.250 0.250
Ni4 Ni 0.000 0.500 0.000
Ni5 Ni 0.000 0.500 0.500
Ni6 Ni 0.248 0.125 0.125
Ni7 Ni 0.249 0.124 0.375
W1 W 0.000 0.251 0.500
W2 W 0.000 0.500 0.240
# E_tot   -6.68 eV per atom
# Spin magnetization   0.357 μB per formula unit
# Energy of formation from the pure elements   -0.68 eV/f.u.